Compound: Y2TaAg
Source: Alexandria
Functional: PBE
Structure: optimized geometry

Cell and atoms, written as POSCAR:
```
Y2TaAg
1.0
3.3021 0.0000 0.0000
0.0000 4.5868 0.0000
0.0000 0.0000 6.3614
Ag Ta Y
1 1 2
direct
0.0000 0.0000 0.4941
0.5000 0.5000 0.7676
0.0000 0.0000 0.9606
0.5000 0.5000 0.2776
```

Energy of formation = 0.34 eV per atom
Total magnetization = 0.00 Bohr magnetons per cell
DFT total energy = -26.26 eV/cell
Offset from the most stable computed form = 0.266 eV per atom


Compound: Y2TaAg
Source: Alexandria
Functional: PBE
Structure: optimized geometry

Cell and atoms, written as POSCAR:
```
Y2TaAg
1.0
5.3966 -0.0052 -0.0054
4.4553 3.0453 -0.0054
1.2715 0.3923 5.8003
Ag Ta Y
1 1 2
direct
0.7500 0.7500 0.7500
0.2500 0.2500 0.2500
0.0027 0.0027 0.0043
0.4973 0.4973 0.4957
```

Energy of formation = 0.39 eV per atom
Total magnetization = 0.00 Bohr magnetons per cell
DFT total energy = -26.09 eV/cell
Offset from the most stable computed form = 0.309 eV per atom


Compound: Y2TaAg
Source: Alexandria
Functional: PBE
Structure: optimized geometry

Cell and atoms, written as POSCAR:
```
Y2TaAg
1.0
5.0853 0.0000 0.0000
2.5427 4.4040 0.0000
2.5427 1.4680 4.1521
Ag Ta Y
1 1 2
direct
0.5000 0.5000 0.5000
0.7500 0.7500 0.7500
0.0000 0.0000 0.0000
0.2500 0.2500 0.2500
```

Energy of formation = 0.48 eV per atom
Total magnetization = 1.42 Bohr magnetons per cell
DFT total energy = -25.73 eV/cell
Offset from the most stable computed form = 0.399 eV per atom